# CoAgBr2 | the Alexandria database | PBE-GGA | optimized geometry
data_CoAgBr2
_symmetry_space_group_name_H-M 'P 1'
_symmetry_Int_Tables_number 1
_cell_length_a 7.017
_cell_length_b 7.017
_cell_length_c 7.017
_cell_angle_alpha 90.00
_cell_angle_beta 90.00
_cell_angle_gamma 90.00
loop_
_symmetry_equiv_pos_as_xyz
'x,y,z'
loop_
_atom_site_label
_atom_site_type_symbol
_atom_site_fract_x
_atom_site_fract_y
_atom_site_fract_z
_atom_site_occupancy
Co1 Co 0.000 0.000 0.000 1
Co2 Co 0.000 0.500 0.500 1
Co3 Co 0.500 0.000 0.500 1
Co4 Co 0.500 0.500 0.000 1
Ag1 Ag 0.250 0.250 0.250 1
Ag2 Ag 0.250 0.750 0.750 1
Ag3 Ag 0.750 0.250 0.750 1
Ag4 Ag 0.750 0.750 0.250 1
Br1 Br 0.000 0.000 0.500 1
Br2 Br 0.000 0.500 0.000 1
Br3 Br 0.250 0.250 0.750 1
Br4 Br 0.250 0.750 0.250 1
Br5 Br 0.500 0.000 0.000 1
Br6 Br 0.500 0.500 0.500 1
Br7 Br 0.750 0.250 0.250 1
Br8 Br 0.750 0.750 0.750 1
# E	-0.0957	Ha/atom
# ρ	6.280	Mg/m³
# energy relative to the elements, uncorrected	721	meV per atom
# V	21.6	A^3/atom



# HfNb2H3 | the Alexandria database | PBE-GGA | optimized geometry
data_HfNb2H3
_symmetry_space_group_name_H-M 'P 1'
_symmetry_Int_Tables_number 1
_cell_length_a 5.125
_cell_length_b 5.125
_cell_length_c 5.679
_cell_angle_alpha 90.00
_cell_angle_beta 90.00
_cell_angle_gamma 120.00
loop_
_symmetry_equiv_pos_as_xyz
'x,y,z'
loop_
_atom_site_label
_atom_site_type_symbol
_atom_site_fract_x
_atom_site_fract_y
_atom_site_fract_z
_atom_site_occupancy
Hf1 Hf 0.000 0.000 0.250 1
Hf2 Hf 0.000 0.000 0.750 1
Nb1 Nb 0.333 0.667 0.000 1
Nb2 Nb 0.333 0.667 0.500 1
Nb3 Nb 0.667 0.333 0.000 1
Nb4 Nb 0.667 0.333 0.500 1
H1 H 0.000 0.404 0.250 1
H2 H 0.000 0.596 0.750 1
H3 H 0.404 0.000 0.250 1
H4 H 0.404 0.404 0.750 1
H5 H 0.596 0.000 0.750 1
H6 H 0.596 0.596 0.250 1
# E	-0.2509	Ha/atom
# ρ	9.444	Mg/m³
# V	10.8	A^3/atom



# Nb3PdRh2 | the Alexandria database | PBE-GGA | optimized geometry
data_Nb3PdRh2
_symmetry_space_group_name_H-M 'P 1'
_symmetry_Int_Tables_number 1
_cell_length_a 2.854
_cell_length_b 2.854
_cell_length_c 11.915
_cell_angle_alpha 90.00
_cell_angle_beta 90.00
_cell_angle_gamma 90.00
loop_
_symmetry_equiv_pos_as_xyz
'x,y,z'
loop_
_atom_site_label
_atom_site_type_symbol
_atom_site_fract_x
_atom_site_fract_y
_atom_site_fract_z
_atom_site_occupancy
Nb1 Nb 0.000 0.000 0.000 1
Nb2 Nb 0.000 0.000 0.327 1
Nb3 Nb 0.000 0.000 0.673 1
Pd1 Pd 0.500 0.500 0.500 1
Rh1 Rh 0.500 0.500 0.166 1
Rh2 Rh 0.500 0.500 0.834 1
# E	-0.3209	Ha/atom
# calculated formation energy	-0.38	eV per atom
# ρ	10.111	Mg/m³
# V	16.2	A^3/atom



# SrRuBr | the Alexandria database | PBE-GGA | optimized geometry
data_SrRuBr
_symmetry_space_group_name_H-M 'P 1'
_symmetry_Int_Tables_number 1
_cell_length_a 7.398
_cell_length_b 7.398
_cell_length_c 7.398
_cell_angle_alpha 90.00
_cell_angle_beta 90.00
_cell_angle_gamma 90.00
loop_
_symmetry_equiv_pos_as_xyz
'x,y,z'
loop_
_atom_site_label
_atom_site_type_symbol
_atom_site_fract_x
_atom_site_fract_y
_atom_site_fract_z
_atom_site_occupancy
Sr1 Sr 0.000 0.000 0.000 1
Sr2 Sr 0.000 0.500 0.500 1
Sr3 Sr 0.500 0.000 0.500 1
Sr4 Sr 0.500 0.500 0.000 1
Ru1 Ru 0.250 0.250 0.750 1
Ru2 Ru 0.250 0.750 0.250 1
Ru3 Ru 0.750 0.250 0.250 1
Ru4 Ru 0.750 0.750 0.750 1
Br1 Br 0.250 0.250 0.250 1
Br2 Br 0.250 0.750 0.750 1
Br3 Br 0.750 0.250 0.750 1
Br4 Br 0.750 0.750 0.250 1
# E	-0.1329	Ha/atom
# ρ	4.405	Mg/m³
# energy relative to the elements, uncorrected	593	meV per atom
# V	33.7	A^3/atom



# CaCrW3 | the Alexandria database | PBE-GGA | optimized geometry
data_CaCrW3
_symmetry_space_group_name_H-M 'P 1'
_symmetry_Int_Tables_number 1
_cell_length_a 4.632
_cell_length_b 4.632
_cell_length_c 4.632
_cell_angle_alpha 90.00
_cell_angle_beta 90.00
_cell_angle_gamma 90.00
loop_
_symmetry_equiv_pos_as_xyz
'x,y,z'
loop_
_atom_site_label
_atom_site_type_symbol
_atom_site_fract_x
_atom_site_fract_y
_atom_site_fract_z
_atom_site_occupancy
Ca1 Ca 0.000 0.000 0.000 1
Cr1 Cr 0.500 0.500 0.500 1
W1 W 0.000 0.500 0.500 1
W2 W 0.500 0.000 0.500 1
W3 W 0.500 0.500 0.000 1
# E	-0.3226	Ha/atom
# calculated formation energy	1.32	eV per atom
# ρ	10.753	Mg/m³
# V	19.9	A^3/atom



# LaP2W | the Alexandria database | PBE-GGA | optimized geometry
data_LaP2W
_symmetry_space_group_name_H-M 'P 1'
_symmetry_Int_Tables_number 1
_cell_length_a 3.593
_cell_length_b 5.806
_cell_length_c 7.980
_cell_angle_alpha 90.00
_cell_angle_beta 90.00
_cell_angle_gamma 90.00
loop_
_symmetry_equiv_pos_as_xyz
'x,y,z'
loop_
_atom_site_label
_atom_site_type_symbol
_atom_site_fract_x
_atom_site_fract_y
_atom_site_fract_z
_atom_site_occupancy
La1 La 0.000 0.000 0.000 1
La2 La 0.500 0.500 0.500 1
P1 P 0.000 0.500 0.206 1
P2 P 0.000 0.500 0.794 1
P3 P 0.500 0.000 0.294 1
P4 P 0.500 0.000 0.706 1
W1 W 0.000 0.000 0.500 1
W2 W 0.500 0.500 0.000 1
# E	-0.2772	Ha/atom
# calculated formation energy	-0.37	eV per atom
# ρ	7.676	Mg/m³
# V	20.8	A^3/atom



# CdPb2Br | the Alexandria database | PBE-GGA | optimized geometry
data_CdPb2Br
_symmetry_space_group_name_H-M 'P 1'
_symmetry_Int_Tables_number 1
_cell_length_a 7.755
_cell_length_b 7.755
_cell_length_c 7.755
_cell_angle_alpha 90.00
_cell_angle_beta 90.00
_cell_angle_gamma 90.00
loop_
_symmetry_equiv_pos_as_xyz
'x,y,z'
loop_
_atom_site_label
_atom_site_type_symbol
_atom_site_fract_x
_atom_site_fract_y
_atom_site_fract_z
_atom_site_occupancy
Cd1 Cd 0.000 0.000 0.000 1
Cd2 Cd 0.000 0.500 0.500 1
Cd3 Cd 0.500 0.000 0.500 1
Cd4 Cd 0.500 0.500 0.000 1
Pb1 Pb 0.000 0.000 0.500 1
Pb2 Pb 0.000 0.500 0.000 1
Pb3 Pb 0.250 0.250 0.750 1
Pb4 Pb 0.250 0.750 0.250 1
Pb5 Pb 0.500 0.000 0.000 1
Pb6 Pb 0.500 0.500 0.500 1
Pb7 Pb 0.750 0.250 0.250 1
Pb8 Pb 0.750 0.750 0.750 1
Br1 Br 0.250 0.250 0.250 1
Br2 Br 0.250 0.750 0.750 1
Br3 Br 0.750 0.250 0.750 1
Br4 Br 0.750 0.750 0.250 1
# E	-0.0933	Ha/atom
# ρ	8.641	Mg/m³
# energy relative to the elements, uncorrected	-37	meV per atom
# V	29.1	A^3/atom



# Pr4SmS5 | the Alexandria database | PBE-GGA | optimized geometry
data_Pr4SmS5
_symmetry_space_group_name_H-M 'P 1'
_symmetry_Int_Tables_number 1
_cell_length_a 14.764
_cell_length_b 14.764
_cell_length_c 14.764
_cell_angle_alpha 164.10
_cell_angle_beta 164.10
_cell_angle_gamma 22.56
loop_
_symmetry_equiv_pos_as_xyz
'x,y,z'
loop_
_atom_site_label
_atom_site_type_symbol
_atom_site_fract_x
_atom_site_fract_y
_atom_site_fract_z
_atom_site_occupancy
Pr1 Pr 0.101 0.101 0.000 1
Pr2 Pr 0.302 0.302 0.000 1
Pr3 Pr 0.698 0.698 0.000 1
Pr4 Pr 0.899 0.899 0.000 1
Sm1 Sm 0.500 0.500 0.000 1
S1 S 0.000 0.000 0.000 1
S2 S 0.201 0.201 0.000 1
S3 S 0.402 0.402 0.000 1
S4 S 0.598 0.598 0.000 1
S5 S 0.799 0.799 0.000 1
# E	-0.2375	Ha/atom
# ρ	6.014	Mg/m³
# energy relative to the elements, uncorrected	-2017	meV per atom
# V	24.1	A^3/atom



# KGa2Mo | the Alexandria database | PBE-GGA | optimized geometry
data_KGa2Mo
_symmetry_space_group_name_H-M 'P 1'
_symmetry_Int_Tables_number 1
_cell_length_a 6.980
_cell_length_b 6.980
_cell_length_c 6.980
_cell_angle_alpha 90.00
_cell_angle_beta 90.00
_cell_angle_gamma 90.00
loop_
_symmetry_equiv_pos_as_xyz
'x,y,z'
loop_
_atom_site_label
_atom_site_type_symbol
_atom_site_fract_x
_atom_site_fract_y
_atom_site_fract_z
_atom_site_occupancy
K1 K 0.000 0.000 0.000 1
K2 K 0.000 0.500 0.500 1
K3 K 0.500 0.000 0.500 1
K4 K 0.500 0.500 0.000 1
Ga1 Ga 0.250 0.250 0.250 1
Ga2 Ga 0.250 0.250 0.750 1
Ga3 Ga 0.250 0.750 0.250 1
Ga4 Ga 0.250 0.750 0.750 1
Ga5 Ga 0.750 0.250 0.250 1
Ga6 Ga 0.750 0.250 0.750 1
Ga7 Ga 0.750 0.750 0.250 1
Ga8 Ga 0.750 0.750 0.750 1
Mo1 Mo 0.000 0.000 0.500 1
Mo2 Mo 0.000 0.500 0.000 1
Mo3 Mo 0.500 0.000 0.000 1
Mo4 Mo 0.500 0.500 0.500 1
# E	-0.1379	Ha/atom
# calculated formation energy	0.74	eV per atom
# ρ	5.362	Mg/m³
# V	21.3	A^3/atom



# TcBrN | the Alexandria database | PBE-GGA | optimized geometry
data_TcBrN
_symmetry_space_group_name_H-M 'P 1'
_symmetry_Int_Tables_number 1
_cell_length_a 3.282
_cell_length_b 4.206
_cell_length_c 8.800
_cell_angle_alpha 89.59
_cell_angle_beta 89.88
_cell_angle_gamma 90.00
loop_
_symmetry_equiv_pos_as_xyz
'x,y,z'
loop_
_atom_site_label
_atom_site_type_symbol
_atom_site_fract_x
_atom_site_fract_y
_atom_site_fract_z
_atom_site_occupancy
Tc1 Tc 0.250 0.194 0.431 1
Tc2 Tc 0.750 0.806 0.569 1
Br1 Br 0.248 0.757 0.801 1
Br2 Br 0.752 0.243 0.199 1
N1 N 0.250 0.709 0.445 1
N2 N 0.750 0.291 0.555 1
# E	-0.2529	Ha/atom
# ρ	5.247	Mg/m³
# energy relative to the elements, uncorrected	-95	meV per atom
# V	20.2	A^3/atom



# Ag5Hg | the Alexandria database | PBE-GGA | optimized geometry
data_Ag5Hg
_symmetry_space_group_name_H-M 'P 1'
_symmetry_Int_Tables_number 1
_cell_length_a 4.816
_cell_length_b 3.017
_cell_length_c 15.456
_cell_angle_alpha 90.00
_cell_angle_beta 90.00
_cell_angle_gamma 90.00
loop_
_symmetry_equiv_pos_as_xyz
'x,y,z'
loop_
_atom_site_label
_atom_site_type_symbol
_atom_site_fract_x
_atom_site_fract_y
_atom_site_fract_z
_atom_site_occupancy
Ag1 Ag 0.000 0.000 0.000 1
Ag2 Ag 0.000 0.000 0.328 1
Ag3 Ag 0.000 0.000 0.664 1
Ag4 Ag 0.000 0.500 0.164 1
Ag5 Ag 0.000 0.500 0.500 1
Ag6 Ag 0.000 0.500 0.828 1
Ag7 Ag 0.500 0.000 0.112 1
Ag8 Ag 0.500 0.000 0.773 1
Ag9 Ag 0.500 0.500 0.273 1
Ag10 Ag 0.500 0.500 0.612 1
Hg1 Hg 0.500 0.000 0.441 1
Hg2 Hg 0.500 0.500 0.941 1
# E	-0.0874	Ha/atom
# calculated formation energy	0.05	eV per atom
# ρ	10.943	Mg/m³
# V	18.7	A^3/atom



# Co2AgOs | the Alexandria database | PBE-GGA | optimized geometry
data_Co2AgOs
_symmetry_space_group_name_H-M 'P 1'
_symmetry_Int_Tables_number 1
_cell_length_a 2.681
_cell_length_b 2.681
_cell_length_c 7.382
_cell_angle_alpha 90.00
_cell_angle_beta 90.00
_cell_angle_gamma 90.00
loop_
_symmetry_equiv_pos_as_xyz
'x,y,z'
loop_
_atom_site_label
_atom_site_type_symbol
_atom_site_fract_x
_atom_site_fract_y
_atom_site_fract_z
_atom_site_occupancy
Co1 Co 0.000 0.000 0.226 1
Co2 Co 0.000 0.000 0.774 1
Ag1 Ag 0.500 0.500 0.500 1
Os1 Os 0.500 0.500 0.000 1
# E	-0.2493	Ha/atom
# calculated formation energy	0.29	eV per atom
# ρ	13.016	Mg/m³
# V	13.3	A^3/atom